Computed, not measured: a geometry-optimized Ho8Te4PAu3 structure at the PBE level of DFT.

a b c (Å): 8.369 8.634 8.369
angles (deg): 118.99 120.00 90.00
Element x y z (fractional)
Te  0.000  0.000  0.500
Te  0.500  0.000  0.000
Te  0.500  0.000  0.500
Te  0.000  0.000  0.000
Au  0.500  0.500  0.500
Au  0.000  0.500  0.500
Au  0.500  0.500  0.000
Ho  0.252  0.277  0.014
Ho  0.237  0.723  0.474
Ho  0.763  0.277  0.014
Ho  0.259  0.276  0.517
Ho  0.741  0.724  0.483
Ho  0.763  0.277  0.526
Ho  0.748  0.723  0.986
Ho  0.237  0.723  0.986
P  0.000  0.500  0.000

Values from the calculation:
N(E_F) (states/eV per cell): 11.9
Mass density (g/cm3): 9.38
Raw formation energy (kJ/mol of atoms): -108.9


Computed, not measured: a geometry-optimized Y2Ti2V structure at the PBE level of DFT.

a b c (Å): 6.657 6.657 5.086
angles (deg): 90.00 90.00 90.00
Element x y z (fractional)
Ti  0.856  0.644  0.000
Ti  0.356  0.856  0.000
Ti  0.144  0.356  0.000
Ti  0.644  0.144  0.000
V  0.000  0.000  0.000
V  0.500  0.500  0.000
Y  0.327  0.173  0.500
Y  0.673  0.827  0.500
Y  0.827  0.327  0.500
Y  0.173  0.673  0.500

Values from the calculation:
N(E_F) (states/eV per cell): 14.0
Energy of formation from the pure elements (eV per atom): 0.3673
Mass density (g/cm3): 4.78


- Among the records above, which one has the highest N(E_F)?
  Y2Ti2V